Entry 1:
# Zr2Ni2Au (PBE-GGA, relaxed)
# V: 18.00 A^3/atom
# ΔE to the lowest computed polymorph: 0.397 eV/atom
# Formation energy: -0.149 eV/atom
# E_tot: -65.4 eV for the cell shown
data_Zr2Ni2Au
_space_group_name_H-M_alt 'P 4/m b m'
_space_group_IT_number 127
_space_group_name_Hall '-P 4 2ab'
_cell_length_a 7.516
_cell_length_b 7.516
_cell_length_c 3.187
_cell_angle_alpha 90.00
_cell_angle_beta 90.00
_cell_angle_gamma 90.00
loop_
_atom_site_label
_atom_site_type_symbol
_atom_site_fract_x
_atom_site_fract_y
_atom_site_fract_z
Zr1 Zr 0.160 0.340 0.000
Ni1 Ni 0.125 0.625 0.500
Au1 Au 0.000 0.000 0.000


Entry 2:
# CeB2OsRu (PBE-GGA, relaxed)
# V: 14.92 A^3/atom
# Formation energy: -0.404 eV/atom
# E_tot: -83.6 eV for the cell shown
data_CeB2OsRu
_space_group_name_H-M_alt 'I -4 m 2'
_space_group_IT_number 119
_space_group_name_Hall 'I -4 -2'
_cell_length_a 3.976
_cell_length_b 3.976
_cell_length_c 9.439
_cell_angle_alpha 90.00
_cell_angle_beta 90.00
_cell_angle_gamma 90.00
loop_
_atom_site_label
_atom_site_type_symbol
_atom_site_fract_x
_atom_site_fract_y
_atom_site_fract_z
Ce1 Ce 0.000 0.000 0.000
B1 B 0.000 0.000 0.336
Os1 Os 0.000 0.500 0.250
Ru1 Ru 0.000 0.500 0.750


Entry 3:
# Tb4Dy2Y (PBE-GGA, relaxed)
# V: 32.23 A^3/atom
# ΔE to the lowest computed polymorph: 0.032 eV/atom
# Formation energy: 0.070 eV/atom
# E_tot: -67.4 eV for the cell shown
data_Tb4Dy2Y
_space_group_name_H-M_alt 'P 1'
_space_group_IT_number 1
_cell_length_a 6.094
_cell_length_b 8.334
_cell_length_c 9.503
_cell_angle_alpha 88.52
_cell_angle_beta 78.64
_cell_angle_gamma 72.60
loop_
_space_group_symop_operation_xyz
'x,y,z'
loop_
_atom_site_label
_atom_site_type_symbol
_atom_site_fract_x
_atom_site_fract_y
_atom_site_fract_z
Tb1 Tb 0.000 0.000 0.000
Tb2 Tb 0.002 0.887 0.358
Tb3 Tb 0.101 0.472 0.509
Tb4 Tb 0.646 0.258 0.578
Tb5 Tb 0.746 0.838 0.729
Tb6 Tb 0.748 0.727 0.089
Tb7 Tb 0.850 0.398 0.860
Tb8 Tb 0.897 0.330 0.228
Dy1 Dy 0.287 0.624 0.804
Dy2 Dy 0.341 0.527 0.157
Dy3 Dy 0.461 0.104 0.285
Dy4 Dy 0.546 0.678 0.447
Y1 Y 0.201 0.049 0.641
Y2 Y 0.410 0.200 0.933


Entry 4:
# GaMo3Os (PBE-GGA, relaxed)
# V: 18.10 A^3/atom
# ΔE to the lowest computed polymorph: 0.170 eV/atom
# Formation energy: 1.739 eV/atom
# E_tot: -38.1 eV for the cell shown
data_GaMo3Os
_space_group_name_H-M_alt 'P m -3 m'
_space_group_IT_number 221
_space_group_name_Hall '-P 4 2 3'
_cell_length_a 4.490
_cell_length_b 4.490
_cell_length_c 4.490
_cell_angle_alpha 90.00
_cell_angle_beta 90.00
_cell_angle_gamma 90.00
loop_
_atom_site_label
_atom_site_type_symbol
_atom_site_fract_x
_atom_site_fract_y
_atom_site_fract_z
Ga1 Ga 0.000 0.000 0.000
Mo1 Mo 0.000 0.000 0.500
Os1 Os 0.500 0.500 0.500


Entry 5:
# BaLi2Ga6 (PBE-GGA, relaxed)
# V: 23.46 A^3/atom
# ΔE to the lowest computed polymorph: 0.120 eV/atom
# Formation energy: -0.184 eV/atom
# E_tot: -25.6 eV for the cell shown
data_BaLi2Ga6
_space_group_name_H-M_alt 'P 6/m m m'
_space_group_IT_number 191
_space_group_name_Hall '-P 6 2'
_cell_length_a 7.7075
_cell_length_b 7.7075
_cell_length_c 4.1045
_cell_angle_alpha 90.00
_cell_angle_beta 90.00
_cell_angle_gamma 120.00
loop_
_atom_site_label
_atom_site_type_symbol
_atom_site_fract_x
_atom_site_fract_y
_atom_site_fract_z
Ba1 Ba 0.0000 0.0000 0.0000
Li1 Li 0.3333 0.6667 0.0000
Ga1 Ga 0.0000 0.3431 0.5000


Entry 6:
# Np2Be3CuGe4 (PBE-GGA, relaxed)
# V: 15.81 A^3/atom
# Formation energy: -0.126 eV/atom
# E_tot: -60.9 eV for the cell shown
data_Np2Be3CuGe4
_space_group_name_H-M_alt 'P -4 m 2'
_space_group_IT_number 115
_cell_length_a 4.061
_cell_length_b 4.061
_cell_length_c 9.588
_cell_angle_alpha 90.00
_cell_angle_beta 90.00
_cell_angle_gamma 90.00
loop_
_space_group_symop_operation_xyz
'x,y,z'
'y,-x,-z'
'-x,-y,z'
'-y,x,-z'
'-x,y,z'
'-y,-x,-z'
'x,-y,z'
'y,x,-z'
loop_
_atom_site_label
_atom_site_type_symbol
_atom_site_fract_x
_atom_site_fract_y
_atom_site_fract_z
Np1 Np 0.000 0.500 0.245
Be1 Be 0.000 0.500 0.873
Be2 Be 0.500 0.500 0.500
Cu1 Cu 0.000 0.000 0.500
Ge1 Ge 0.000 0.000 0.000
Ge2 Ge 0.000 0.500 0.638
Ge3 Ge 0.500 0.500 0.000